Density functional theory data (PBE) for crystalline TcPOs2 at its relaxed geometry.

## Properties
Magnetization   0.000 μB per cell
Calculated volume   54.3 Å³/cell
DFT total energy   -9.60 eV per atom
Formation enthalpy at 0 K   -0.04 eV per atom
N(E_F)   1.40 states/eV per cell
Crystal system   tetragonal
Space group   No. 123

a = 2.8480 Å, b = 2.8480 Å, c = 6.6972 Å
α = 90.00°, β = 90.00°, γ = 90.00°
With the nearest neighbours (Å) after each atom.
Sites, in units of the cell vectors:
Tc 0.0000 0.0000 0.0000  8 Os 2.77, 4 Tc 2.85
P 0.0000 0.0000 0.5000  8 Os 2.48
Os 0.5000 0.5000 0.2840  4 P 2.48, 4 Tc 2.77
Os 0.5000 0.5000 0.7160  4 P 2.48, 4 Tc 2.77



Density functional theory data (PBE) for crystalline NaV2Rh at its relaxed geometry.

## Properties
Magnetization   2.286 μB per cell
Calculated volume   60.5 Å³/cell
DFT total energy   -6.12 eV per atom
Formation enthalpy at 0 K   0.60 eV per atom
N(E_F)   4.83 states/eV per cell
Crystal system   cubic
Energy above the most stable polymorph in this dataset   0 meV/atom
Space group   No. 225

a = 4.4073 Å, b = 4.4073 Å, c = 4.4073 Å
α = 60.00°, β = 60.00°, γ = 60.00°
With the nearest neighbours (Å) after each atom.
Sites, in units of the cell vectors:
Na 0.0000 0.0000 0.0000  8 V 2.70
V 0.2500 0.2500 0.2500  4 Rh 2.70, 4 Na 2.70
V 0.7500 0.7500 0.7500  4 Rh 2.70, 4 Na 2.70
Rh 0.5000 0.5000 0.5000  8 V 2.70



Density functional theory data (PBE) for crystalline Y4CdNi at its relaxed geometry.

## Properties
Magnetization   0.000 μB per cell
Calculated volume   325.0 Å³/cell
DFT total energy   -5.65 eV per atom
Formation enthalpy at 0 K   -0.22 eV per atom
N(E_F)   13.17 states/eV per cell
Crystal system   monoclinic
Energy above the most stable polymorph in this dataset   77 meV/atom
Space group   No. 15

a = 7.6370 Å, b = 7.6370 Å, c = 6.1556 Å
α = 99.40°, β = 99.40°, γ = 109.32°
With the nearest neighbours (Å) after each atom.
Sites, in units of the cell vectors:
Y 0.0596 0.7281 0.9585  2 Ni 2.72-2.74
Y 0.2002 0.3763 0.6008  2 Ni 3.03-3.15, 2 Cd 3.22-3.26
Y 0.2719 0.9404 0.5415  2 Ni 2.72-2.74
Y 0.3763 0.2002 0.1008  2 Ni 3.03-3.15, 2 Cd 3.22-3.26
Y 0.6237 0.7998 0.8992  2 Ni 3.03-3.15, 2 Cd 3.22-3.26
Y 0.7281 0.0596 0.4585  2 Ni 2.72-2.74
Y 0.7998 0.6237 0.3992  2 Ni 3.03-3.15, 2 Cd 3.22-3.26
Y 0.9404 0.2719 0.0415  2 Ni 2.72-2.74
Cd 0.3760 0.6240 0.2500  8 Y 3.16-3.39
Cd 0.6240 0.3760 0.7500  8 Y 3.16-3.39
Ni 0.0015 0.9985 0.7500  6 Y 2.72-3.03
Ni 0.9985 0.0015 0.2500  6 Y 2.72-3.03



Density functional theory data (PBE) for crystalline Ce2CdGe3Pt4 at its relaxed geometry.

## Properties
Magnetization   1.545 μB per cell
Calculated volume   198.8 Å³/cell
DFT total energy   -5.88 eV per atom
Formation enthalpy at 0 K   -0.80 eV per atom
N(E_F)   13.61 states/eV per cell
Crystal system   tetragonal
Space group   No. 115

a = 4.2604 Å, b = 4.2604 Å, c = 10.9520 Å
α = 90.00°, β = 90.00°, γ = 90.00°
With the nearest neighbours (Å) after each atom.
Sites, in units of the cell vectors:
Ce 0.0000 0.5000 0.2445  8 Pt 3.21-3.42, 6 Ge 3.28-3.52, 2 Cd 3.52
Ce 0.5000 0.0000 0.7555  8 Pt 3.21-3.42, 6 Ge 3.28-3.52, 2 Cd 3.52
Cd 0.0000 0.0000 0.5000  4 Pt 2.71, 4 Ge 3.01
Ge 0.0000 0.5000 0.8743  5 Pt 2.42-2.54
Ge 0.5000 0.0000 0.1257  5 Pt 2.42-2.54
Ge 0.5000 0.5000 0.5000  4 Pt 2.71, 4 Cd 3.01
Pt 0.0000 0.0000 0.0000  4 Ge 2.54
Pt 0.0000 0.5000 0.6530  3 Ge 2.42-2.71, 2 Cd 2.71
Pt 0.5000 0.0000 0.3470  3 Ge 2.42-2.71, 2 Cd 2.71
Pt 0.5000 0.5000 0.0000  4 Ge 2.54



Density functional theory data (PBE) for crystalline Ca2Nd2Th at its relaxed geometry.

## Properties
Magnetization   0.000 μB per cell
Calculated volume   184.2 Å³/cell
DFT total energy   -4.15 eV per atom
Formation enthalpy at 0 K   0.04 eV per atom
N(E_F)   6.48 states/eV per cell
Crystal system   monoclinic
Space group   No. 12

a = 3.7026 Å, b = 3.7026 Å, c = 15.5150 Å
α = 90.09°, β = 90.09°, γ = 59.98°
With the nearest neighbours (Å) after each atom.
Sites, in units of the cell vectors:
Ca 0.1662 0.1662 0.3939  9 Ca 3.70-3.93, 3 Nd 3.90-3.91
Ca 0.8338 0.8338 0.6061  9 Ca 3.70-3.93, 3 Nd 3.90-3.91
Nd 0.1655 0.1655 0.8168  3 Th 3.56, 6 Nd 3.70, 3 Ca 3.90-3.91
Nd 0.8345 0.8345 0.1832  3 Th 3.56, 6 Nd 3.70, 3 Ca 3.90-3.91
Th 0.5000 0.5000 0.0000  6 Nd 3.56, 6 Th 3.70



Density functional theory data (PBE) for crystalline FeRe2Pb at its relaxed geometry.

## Properties
Magnetization   0.149 μB per cell
Calculated volume   63.1 Å³/cell
DFT total energy   -8.38 eV per atom
Formation enthalpy at 0 K   0.88 eV per atom
N(E_F)   4.47 states/eV per cell
Crystal system   tetragonal
Space group   No. 139

a = 5.0889 Å, b = 5.0889 Å, c = 5.0889 Å
α = 135.85°, β = 135.85°, γ = 64.21°
With the nearest neighbours (Å) after each atom.
Sites, in units of the cell vectors:
Fe 0.0000 0.0000 0.0000  4 Pb 2.70, 8 Re 2.88
Re 0.2500 0.7500 0.5000  4 Re 2.70, 4 Pb 2.88, 4 Fe 2.88
Re 0.7500 0.2500 0.5000  4 Re 2.70, 4 Pb 2.88, 4 Fe 2.88
Pb 0.5000 0.5000 0.0000  4 Fe 2.70, 8 Re 2.88



Density functional theory data (PBE) for crystalline TbIn2S4 at its relaxed geometry.

## Properties
Magnetization   0.000 μB per cell
Uncorrected formation energy   -676 kJ/mol of formula units
Calculated volume   316.1 Å³/cell
DFT total energy   -4.80 eV per atom
N(E_F)   3.85 states/eV per cell
Crystal system   orthorhombic
Energy above the most stable polymorph in this dataset   0 meV/atom
Space group   No. 63

a = 6.6958 Å, b = 6.6958 Å, c = 12.8579 Å
α = 90.00°, β = 90.00°, γ = 146.75°
With the nearest neighbours (Å) after each atom.
Sites, in units of the cell vectors:
Tb 0.1166 0.8834 0.7500  6 S 2.75-2.85
Tb 0.8834 0.1166 0.2500  6 S 2.75-2.85
In 0.3694 0.6306 0.5671  6 S 2.64-2.81
In 0.3694 0.6306 0.9329  6 S 2.64-2.81
In 0.6306 0.3694 0.0671  6 S 2.64-2.81
In 0.6306 0.3694 0.4329  6 S 2.64-2.81
S 0.0000 0.0000 0.0000  4 In 2.69
S 0.0000 0.0000 0.5000  4 In 2.69
S 0.2808 0.7192 0.1214  3 In 2.68-2.81, 2 Tb 2.85
S 0.2808 0.7192 0.3786  3 In 2.68-2.81, 2 Tb 2.85
S 0.4623 0.5377 0.7500  2 In 2.64, 2 Tb 2.75
S 0.5377 0.4623 0.2500  2 In 2.64, 2 Tb 2.75
S 0.7192 0.2808 0.6214  3 In 2.68-2.81, 2 Tb 2.85
S 0.7192 0.2808 0.8786  3 In 2.68-2.81, 2 Tb 2.85



Density functional theory data (PBE) for crystalline La2IrPt2 at its relaxed geometry.

## Properties
Magnetization   0.000 μB per cell
Calculated volume   241.8 Å³/cell
DFT total energy   -6.65 eV per atom
Formation enthalpy at 0 K   -0.49 eV per atom
N(E_F)   6.77 states/eV per cell
Crystal system   tetragonal
Energy above the most stable polymorph in this dataset   320 meV/atom
Space group   No. 127

a = 8.0055 Å, b = 8.0055 Å, c = 3.7735 Å
α = 90.00°, β = 90.00°, γ = 90.00°
With the nearest neighbours (Å) after each atom.
Sites, in units of the cell vectors:
La 0.1788 0.3212 0.0000  6 Pt 2.93-3.10, 2 Ir 2.94
La 0.3212 0.8212 0.0000  6 Pt 2.93-3.10, 2 Ir 2.94
La 0.6788 0.1788 0.0000  6 Pt 2.93-3.10, 2 Ir 2.94
La 0.8212 0.6788 0.0000  6 Pt 2.93-3.10, 2 Ir 2.94
Ir 0.0000 0.0000 0.0000  4 La 2.94
Ir 0.5000 0.5000 0.0000  4 La 2.94
Pt 0.1226 0.6226 0.5000  1 Pt 2.78, 6 La 2.93-3.10
Pt 0.3774 0.1226 0.5000  1 Pt 2.78, 6 La 2.93-3.10
Pt 0.6226 0.8774 0.5000  1 Pt 2.78, 6 La 2.93-3.10
Pt 0.8774 0.3774 0.5000  1 Pt 2.78, 6 La 2.93-3.10